Record 1
The following is a GGA-PBE calculation of La2PSe after structural relaxation, from Alexandria via LeMat-Bulk.

Output
Distance to the lowest polymorph of the same formula: 0.000 eV/atom
E_tot: -6.55 eV per atom
DOS(E_F): 2.00 states/eV/f.u.
SG: R-3m
Energy relative to the elements, uncorrected: -1.86 eV/atom

a b c (Å): 7.4845 7.4845 7.4845
angles (deg): 33.25 33.25 33.25
Closest atoms and distances in Å follow each position.
Element x y z (fractional)
1 La 0.2445 0.2445 0.2445  3 P 2.97, 3 Se 3.11
2 La 0.7555 0.7555 0.7555  3 P 2.97, 3 Se 3.11
3 P 0.5000 0.5000 0.5000  6 La 2.97
4 Se 0.0000 0.0000 0.0000  6 La 3.11



Record 2
The following is a GGA-PBE calculation of Sm3Dy2Ag3 after structural relaxation, from Alexandria via LeMat-Bulk.

Output
Formation energy: -0.201 eV/atom
E_tot: -4.19 eV per atom
DOS(E_F): 7.78 states/eV/f.u.
SG: Immm

a b c (Å): 11.3891 11.3891 11.3891
angles (deg): 161.28 152.80 33.23
Closest atoms and distances in Å follow each position.
Element x y z (fractional)
1 Sm 0.0000 0.0000 0.0000  8 Ag 3.20-3.26
2 Sm 0.3785 0.8785 0.5000  6 Ag 3.23-3.26, 2 Dy 3.60
3 Sm 0.6215 0.1215 0.5000  6 Ag 3.23-3.26, 2 Dy 3.60
4 Dy 0.2320 0.2320 0.0000  2 Ag 3.07, 4 Dy 3.35
5 Dy 0.7680 0.7680 0.0000  2 Ag 3.07, 4 Dy 3.35
6 Ag 0.1197 0.6197 0.5000  2 Dy 3.07, 6 Sm 3.20-3.26
7 Ag 0.5000 0.5000 0.0000  8 Sm 3.23-3.26
8 Ag 0.8803 0.3803 0.5000  2 Dy 3.07, 6 Sm 3.20-3.26



Record 3
The following is a GGA-PBE calculation of Mg2Si2Tc after structural relaxation, from Alexandria via LeMat-Bulk.

Output
Distance to the lowest polymorph of the same formula: 0.000 eV/atom
E_tot: -5.03 eV per atom
DOS(E_F): 4.01 states/eV/f.u.
SG: P4/mbm
Energy relative to the elements, uncorrected: -0.15 eV/atom

a b c (Å): 6.4563 6.4563 3.9213
angles (deg): 90.00 90.00 90.00
Closest atoms and distances in Å follow each position.
Element x y z (fractional)
1 Mg 0.1751 0.3249 0.0000  6 Si 2.63-2.80
2 Mg 0.3249 0.8249 0.0000  6 Si 2.63-2.80
3 Mg 0.6751 0.1751 0.0000  6 Si 2.63-2.80
4 Mg 0.8249 0.6751 0.0000  6 Si 2.63-2.80
5 Si 0.1326 0.6326 0.5000  1 Si 2.42, 2 Tc 2.52, 2 Mg 2.63
6 Si 0.3674 0.1326 0.5000  1 Si 2.42, 2 Tc 2.52, 2 Mg 2.63
7 Si 0.6326 0.8674 0.5000  1 Si 2.42, 2 Tc 2.52, 2 Mg 2.63
8 Si 0.8674 0.3674 0.5000  1 Si 2.42, 2 Tc 2.52, 2 Mg 2.63
9 Tc 0.0000 0.0000 0.5000  4 Si 2.52
10 Tc 0.5000 0.5000 0.5000  4 Si 2.52



Record 4
The following is a GGA-PBE calculation of TbSm3Sc2Se6 after structural relaxation, from Alexandria via LeMat-Bulk.

Output
E_tot: -6.09 eV per atom
DOS(E_F): 5.97 states/eV/f.u.
SG: C2/m
Energy relative to the elements, uncorrected: -1.73 eV/atom

a b c (Å): 7.0062 7.0062 7.1076
angles (deg): 99.44 99.44 120.22
Closest atoms and distances in Å follow each position.
Element x y z (fractional)
1 Tb 0.0000 0.0000 0.0000  6 Se 2.85-2.87
2 Sm 0.1607 0.8393 0.5000  6 Se 2.93-2.97
3 Sm 0.5000 0.5000 0.5000  6 Se 2.90-2.97
4 Sm 0.8393 0.1607 0.5000  6 Se 2.93-2.97
5 Sc 0.3341 0.6659 0.0000  6 Se 2.75-2.78
6 Sc 0.6659 0.3341 0.0000  6 Se 2.75-2.78
7 Se 0.0774 0.4218 0.2333  2 Sc 2.78, 1 Tb 2.87, 3 Sm 2.93-2.97
8 Se 0.2683 0.2683 0.7720  2 Sc 2.75, 1 Tb 2.85, 3 Sm 2.90-2.94
9 Se 0.4218 0.0774 0.2333  2 Sc 2.78, 1 Tb 2.87, 3 Sm 2.93-2.97
10 Se 0.5782 0.9226 0.7667  2 Sc 2.78, 1 Tb 2.87, 3 Sm 2.93-2.97
11 Se 0.7317 0.7317 0.2280  2 Sc 2.75, 1 Tb 2.85, 3 Sm 2.90-2.94
12 Se 0.9226 0.5782 0.7667  2 Sc 2.78, 1 Tb 2.87, 3 Sm 2.93-2.97



Record 5
The following is a GGA-PBE calculation of LiSmAlPt after structural relaxation, from Alexandria via LeMat-Bulk.

Output
Formation energy: -0.710 eV/atom
E_tot: -4.81 eV per atom
DOS(E_F): 5.55 states/eV/f.u.
SG: F-43m

a b c (Å): 4.7292 4.7292 4.7292
angles (deg): 60.00 60.00 60.00
Closest atoms and distances in Å follow each position.
Element x y z (fractional)
1 Li 0.0000 0.0000 0.0000  4 Sm 2.90, 4 Al 2.90
2 Sm 0.7500 0.7500 0.7500  4 Li 2.90, 4 Pt 2.90
3 Al 0.2500 0.2500 0.2500  4 Li 2.90, 4 Pt 2.90
4 Pt 0.5000 0.5000 0.5000  4 Sm 2.90, 4 Al 2.90



Record 6
The following is a GGA-PBE calculation of CsPmPuI6 after structural relaxation, from Alexandria via LeMat-Bulk.

Output
E_tot: -4.58 eV per atom
DOS(E_F): 19.97 states/eV/f.u.
SG: P312
Energy relative to the elements, uncorrected: -1.33 eV/atom

a b c (Å): 8.1074 8.1074 8.7242
angles (deg): 90.00 90.00 120.00
Closest atoms and distances in Å follow each position.
Element x y z (fractional)
1 Cs 0.0000 0.0000 0.0000  6 I 3.91
2 Pm 0.6667 0.3333 0.5000  6 I 3.13
3 Pu 0.3333 0.6667 0.5000  6 I 3.20
4 I 0.3735 0.0066 0.7124  1 Pm 3.13, 1 Pu 3.20
5 I 0.3735 0.3669 0.2876  1 Pm 3.13, 1 Pu 3.20
6 I 0.6331 0.0066 0.2876  1 Pm 3.13, 1 Pu 3.20
7 I 0.6331 0.6265 0.7124  1 Pm 3.13, 1 Pu 3.20
8 I 0.9934 0.3669 0.7124  1 Pm 3.13, 1 Pu 3.20
9 I 0.9934 0.6265 0.2876  1 Pm 3.13, 1 Pu 3.20



Record 7
The following is a GGA-PBE calculation of ScOs3Pb after structural relaxation, from Alexandria via LeMat-Bulk.

Output
Formation energy: 2.105 eV/atom
Distance to the lowest polymorph of the same formula: 0.000 eV/atom
E_tot: -6.64 eV per atom
DOS(E_F): 7.69 states/eV/f.u.
SG: Pm-3m

a b c (Å): 4.7432 4.7432 4.7432
angles (deg): 90.00 90.00 90.00
Closest atoms and distances in Å follow each position.
Element x y z (fractional)
1 Sc 0.0000 0.0000 0.0000  6 Os 2.37
2 Os 0.0000 0.0000 0.5000  2 Sc 2.37
3 Os 0.0000 0.5000 0.0000  2 Sc 2.37
4 Os 0.5000 0.0000 0.0000  2 Sc 2.37
5 Pb 0.5000 0.5000 0.5000  12 Os 3.35



Record 8
The following is a GGA-PBE calculation of HoThIn after structural relaxation, from Alexandria via LeMat-Bulk.

Output
Formation energy: -0.207 eV/atom
Distance to the lowest polymorph of the same formula: 0.061 eV/atom
E_tot: -5.12 eV per atom
DOS(E_F): 3.94 states/eV/f.u.
SG: Pnma

a b c (Å): 9.0026 3.7831 10.4292
angles (deg): 90.00 90.00 90.00
Closest atoms and distances in Å follow each position.
Element x y z (fractional)
1 Ho 0.1212 0.2500 0.0957  4 In 3.14-3.22, 2 Ho 3.51
2 Ho 0.3788 0.7500 0.5957  4 In 3.14-3.22, 2 Ho 3.51
3 Ho 0.6212 0.2500 0.4043  4 In 3.14-3.22, 2 Ho 3.51
4 Ho 0.8788 0.7500 0.9043  4 In 3.14-3.22, 2 Ho 3.51
5 Th 0.0416 0.2500 0.6485  5 In 3.36-3.54, 4 Ho 3.58-3.62, 2 Th 3.71
6 Th 0.4584 0.7500 0.1485  5 In 3.36-3.54, 4 Ho 3.58-3.62, 2 Th 3.71
7 Th 0.5416 0.2500 0.8515  5 In 3.36-3.54, 4 Ho 3.58-3.62, 2 Th 3.71
8 Th 0.9584 0.7500 0.3515  5 In 3.36-3.54, 4 Ho 3.58-3.62, 2 Th 3.71
9 In 0.2338 0.7500 0.8693  4 Ho 3.14-3.22, 4 Th 3.36-3.45
10 In 0.2662 0.2500 0.3693  4 Ho 3.14-3.22, 4 Th 3.36-3.45
11 In 0.7338 0.7500 0.6307  4 Ho 3.14-3.22, 4 Th 3.36-3.45
12 In 0.7662 0.2500 0.1307  4 Ho 3.14-3.22, 4 Th 3.36-3.45



Record 9
The following is a GGA-PBE calculation of Ba2CoC after structural relaxation, from Alexandria via LeMat-Bulk.

Output
Formation energy: 1.220 eV/atom
E_tot: -3.82 eV per atom
DOS(E_F): 3.45 states/eV/f.u.
SG: I-42d

a b c (Å): 6.9769 6.9769 6.9769
angles (deg): 110.32 110.32 107.79
Closest atoms and distances in Å follow each position.
Element x y z (fractional)
1 Ba 0.0678 0.6250 0.9428  2 C 2.72
2 Ba 0.3750 0.3178 0.4428  2 C 2.72
3 Ba 0.6822 0.1250 0.0572  2 C 2.72
4 Ba 0.8750 0.9322 0.5572  2 C 2.72
5 Co 0.2500 0.7500 0.5000  4 Ba 3.32
6 Co 0.5000 0.5000 0.0000  4 Ba 3.32
7 C 0.0000 0.0000 0.0000  4 Ba 2.72
8 C 0.7500 0.2500 0.5000  4 Ba 2.72



Record 10
The following is a GGA-PBE calculation of Na3Ac3SiS8 after structural relaxation, from Alexandria via LeMat-Bulk.

Output
E_tot: -5.10 eV per atom
SG: R-3m
Energy relative to the elements, uncorrected: -1.45 eV/atom

a b c (Å): 8.2613 8.2613 8.2613
angles (deg): 61.27 61.27 61.27
Closest atoms and distances in Å follow each position.
Element x y z (fractional)
1 Na 0.0000 0.5000 0.5000  6 S 2.97
2 Na 0.5000 0.0000 0.5000  6 S 2.97
3 Na 0.5000 0.5000 0.0000  6 S 2.97
4 Ac 0.0000 0.0000 0.5000  6 S 2.93-3.02
5 Ac 0.0000 0.5000 0.0000  6 S 2.93-3.02
6 Ac 0.5000 0.0000 0.0000  6 S 2.93-3.02
7 Si 0.5000 0.5000 0.5000  6 S 2.42
8 S 0.2482 0.2482 0.2482  3 Ac 2.93, 3 Na 2.97
9 S 0.2948 0.2948 0.7027  1 Si 2.42
10 S 0.2948 0.7027 0.2948  1 Si 2.42
11 S 0.2973 0.7052 0.7052  1 Si 2.42
12 S 0.7027 0.2948 0.2948  1 Si 2.42
13 S 0.7052 0.2973 0.7052  1 Si 2.42
14 S 0.7052 0.7052 0.2973  1 Si 2.42
15 S 0.7518 0.7518 0.7518  3 Ac 2.93, 3 Na 2.97



Record 11
The following is a GGA-PBE calculation of Tm2Mg3Hg after structural relaxation, from Alexandria via LeMat-Bulk.

Output
Formation energy: -0.163 eV/atom
E_tot: -2.50 eV per atom
DOS(E_F): 5.94 states/eV/f.u.
SG: Pmm2

a b c (Å): 3.3854 5.0417 8.7170
angles (deg): 90.00 90.00 90.00
Closest atoms and distances in Å follow each position.
Element x y z (fractional)
1 Tm 0.0000 0.0000 0.0000  2 Hg 3.30, 10 Mg 3.33-3.44, 2 Tm 3.39
2 Tm 0.0000 0.5000 0.4790  8 Mg 3.29-3.42, 4 Hg 3.32, 2 Tm 3.39
3 Mg 0.5000 0.0000 0.6558  1 Hg 2.89, 2 Mg 2.90
4 Mg 0.5000 0.5000 0.1558  2 Hg 2.92, 1 Mg 2.92
5 Mg 0.5000 0.5000 0.8204  3 Mg 2.90-2.92
6 Hg 0.5000 0.0000 0.3247  3 Mg 2.89-2.92



Record 12
The following is a GGA-PBE calculation of NpIr2 after structural relaxation, from Alexandria via LeMat-Bulk.

Output
Formation energy: -0.441 eV/atom
E_tot: -10.66 eV per atom
DOS(E_F): 7.38 states/eV/f.u.
SG: Fd-3m

a b c (Å): 5.3414 5.3414 5.3414
angles (deg): 60.00 60.00 60.00
Closest atoms and distances in Å follow each position.
Element x y z (fractional)
1 Np 0.1250 0.1250 0.1250  12 Ir 3.13, 4 Np 3.27
2 Np 0.8750 0.8750 0.8750  12 Ir 3.13, 4 Np 3.27
3 Ir 0.0000 0.5000 0.5000  6 Ir 2.67
4 Ir 0.5000 0.0000 0.5000  6 Ir 2.67
5 Ir 0.5000 0.5000 0.0000  6 Ir 2.67
6 Ir 0.5000 0.5000 0.5000  6 Ir 2.67